MgCd3Se GGA-PBE optimized geometry; formation energy without anion corrections = 0.322 eV/atom; M_tot = 0.000 μB/atom; density of states at the Fermi level = 3.46 states/eV/cell; excess energy over the best structure of this formula in the dataset = 0 meV/atom
1.0
-3.143 0.741 4.395
-4.209 -2.262 -2.628
1.466 -4.906 1.875
Mg Cd Se
1 3 1
Cartesian
-2.943 -3.214 1.821
-1.571 0.370 2.197
0.733 -2.453 0.938
-2.104 -1.131 -1.314
0.000 0.000 0.000


Li2SbPb GGA-PBE optimized geometry; formation energy without anion corrections = -0.283 eV/atom; M_tot = 0.000 μB/atom; density of states at the Fermi level = 1.37 states/eV/cell; excess energy over the best structure of this formula in the dataset = 85 meV/atom
1.0
-5.632 -0.918 1.185
-5.352 -1.090 -2.035
0.546 -5.025 0.316
Li Sb Pb
2 1 1
Cartesian
-7.882 -5.164 -0.411
-10.858 -2.146 -0.832
-2.717 -1.605 -0.151
-5.184 -3.644 -0.257


RbTaSb2Te GGA-PBE optimized geometry; formation energy without anion corrections = -0.063 eV/atom; M_tot = 0.000 μB/atom; density of states at the Fermi level = 3.57 states/eV/cell; excess energy over the best structure of this formula in the dataset = 0 meV/atom
1.0
5.483 0.000 0.000
0.000 5.483 0.000
0.000 0.000 5.541
Sb Ta Rb Te
2 1 1 1
Cartesian
0.000 2.741 0.000
2.741 0.000 0.000
0.000 0.000 0.000
2.741 2.741 2.770
0.000 0.000 2.770


Nd4AuSe2Cl GGA-PBE optimized geometry; formation energy without anion corrections = -1.472 eV/atom; M_tot = 0.000 μB/atom; density of states at the Fermi level = 3.57 states/eV/cell
1.0
-0.438 -2.098 -3.535
-5.047 -4.441 3.261
-6.662 2.989 -0.948
Se Nd Cl Au
2 4 1 1
Cartesian
-3.550 0.445 -2.242
-6.662 2.989 -0.948
-3.379 -2.385 -3.000
-6.460 0.063 -1.654
-5.687 -3.613 0.432
-8.769 -1.164 1.778
-2.743 -3.269 -0.137
-5.855 -0.726 1.156


PmPrNiI GGA-PBE optimized geometry; formation energy without anion corrections = -0.660 eV/atom; M_tot = 0.000 μB/atom; density of states at the Fermi level = 3.11 states/eV/cell
1.0
4.136 0.000 0.000
-2.067 3.581 0.000
-2.068 -1.194 8.078
I Pr Pm Ni
1 1 1 1
Cartesian
2.458 0.932 2.923
0.391 -0.262 5.540
-1.676 3.320 0.410
-1.676 0.931 7.036


Er10Bi3Te3 GGA-PBE optimized geometry; formation energy without anion corrections = -0.756 eV/atom; M_tot = 0.000 μB/atom; density of states at the Fermi level = 9.83 states/eV/cell
1.0
-3.609 1.039 -4.921
1.711 -8.344 -3.016
-7.039 1.471 5.472
Er Te Bi
10 3 3
Cartesian
-1.754 0.366 1.363
0.426 -2.079 -0.752
-0.519 -5.747 -4.726
-7.091 1.624 1.649
-3.131 -1.192 -1.849
-6.833 -1.020 -1.055
-5.020 -1.542 1.418
-4.000 -5.160 1.844
-2.103 -4.814 -1.411
-3.916 -4.292 -3.884
1.052 -5.127 -1.853
-4.325 0.904 3.362
-2.054 -2.650 0.947
-1.139 -2.725 -3.634
-5.060 -3.681 -0.960
-4.542 1.091 -0.333